Entry 1:
{"formula": "BaRu2Pt", "functional": "PBE", "state": "optimized geometry", "cell": [[5.880, 0.000, 0.000], [0.000, 10.106, 0.000], [-1.339, 0.000, 2.624]], "species": ["Ba", "Ba", "Ru", "Ru", "Ru", "Ru", "Pt", "Pt"], "frac_coords": [[0.000, 0.000, 0.000], [0.500, 0.500, 0.000], [0.250, 0.250, 0.500], [0.250, 0.750, 0.500], [0.750, 0.250, 0.500], [0.750, 0.750, 0.500], [0.000, 0.500, 0.000], [0.500, 0.000, 0.000]], "dos_at_fermi_per_ev_atom": 1.40, "final_energy_ev_per_atom": -5.77, "sg": "C2/m, No. 12", "polymorph_energy_mev_per_atom": 749, "ef_ev_per_atom": 0.86}

Entry 2:
{"formula": "ScAlGe3", "functional": "PBE", "state": "optimized geometry", "cell": [[5.115, 0.000, 0.000], [0.000, 5.115, 0.000], [0.000, 0.000, 5.115]], "species": ["Sc", "Al", "Ge", "Ge", "Ge"], "frac_coords": [[0.000, 0.000, 0.000], [0.500, 0.500, 0.500], [0.000, 0.000, 0.500], [0.000, 0.500, 0.000], [0.500, 0.000, 0.000]], "dos_at_fermi_per_ev_atom": 0.50, "final_energy_ev_per_atom": -4.21, "sg": "Pm-3m, No. 221", "ef_ev_per_atom": 0.58}

Entry 3:
{"formula": "Na2ScPt2", "functional": "PBE", "state": "optimized geometry", "cell": [[6.773, 0.000, 0.000], [0.000, 6.773, 0.000], [0.000, 0.000, 4.795]], "species": ["Na", "Na", "Na", "Na", "Sc", "Sc", "Pt", "Pt", "Pt", "Pt"], "frac_coords": [[0.162, 0.338, 0.000], [0.338, 0.838, 0.000], [0.662, 0.162, 0.000], [0.838, 0.662, 0.000], [0.000, 0.000, 0.500], [0.500, 0.500, 0.500], [0.137, 0.637, 0.500], [0.363, 0.137, 0.500], [0.637, 0.863, 0.500], [0.863, 0.363, 0.500]], "dos_at_fermi_per_ev_atom": 0.39, "final_energy_ev_per_atom": -4.59, "sg": "P4/mbm, No. 127", "polymorph_energy_mev_per_atom": 0, "ef_ev_per_atom": -0.38}

What did the first record say?
{"formula": "BaRu2Pt", "functional": "PBE", "state": "optimized geometry", "cell": [[5.880, 0.000, 0.000], [0.000, 10.106, 0.000], [-1.339, 0.000, 2.624]], "species": ["Ba", "Ba", "Ru", "Ru", "Ru", "Ru", "Pt", "Pt"], "frac_coords": [[0.000, 0.000, 0.000], [0.500, 0.500, 0.000], [0.250, 0.250, 0.500], [0.250, 0.750, 0.500], [0.750, 0.250, 0.500], [0.750, 0.750, 0.500], [0.000, 0.500, 0.000], [0.500, 0.000, 0.000]], "dos_at_fermi_per_ev_atom": 1.40, "final_energy_ev_per_atom": -5.77, "sg": "C2/m, No. 12", "polymorph_energy_mev_per_atom": 749, "ef_ev_per_atom": 0.86}